1.
Compound: LaTcBr2
Source: Alexandria via LeMat-Bulk
Functional: PBE-GGA
Structure: optimized geometry

- E_form (uncorrected) (eV per atom) = -0.19
- ΔE to the lowest computed polymorph (kJ per mole of atoms) = 35.33

Lattice parameters (Å, degrees): 4.823 4.823 18.479 90.00 90.00 90.00
Fractional positions:
La  0.000  0.000  0.000
La  0.000  0.500  0.250
La  0.500  0.000  0.750
La  0.500  0.500  0.500
Tc  0.000  0.000  0.500
Tc  0.000  0.500  0.750
Tc  0.500  0.000  0.250
Tc  0.500  0.500  0.000
Br  0.218  0.250  0.625
Br  0.250  0.718  0.875
Br  0.250  0.782  0.375
Br  0.282  0.250  0.125
Br  0.718  0.750  0.125
Br  0.750  0.218  0.375
Br  0.750  0.282  0.875
Br  0.782  0.750  0.625



2.
Compound: Er6MgRu5
Source: Alexandria via LeMat-Bulk
Functional: PBE-GGA
Structure: optimized geometry

- ΔE_f (eV per formula unit) = -4.46

Lattice parameters (Å, degrees): 8.335 8.335 8.335 146.24 131.19 60.66
Fractional positions:
Er  0.067  0.327  0.741
Er  0.232  0.000  0.232
Er  0.414  0.673  0.741
Er  0.586  0.327  0.259
Er  0.768  0.000  0.768
Er  0.933  0.673  0.259
Mg  0.500  0.500  0.000
Ru  0.000  0.500  0.500
Ru  0.167  0.167  0.000
Ru  0.339  0.839  0.500
Ru  0.661  0.161  0.500
Ru  0.833  0.833  0.000



3.
Compound: Cs2AlPdO4
Source: Alexandria via LeMat-Bulk
Functional: PBE-GGA
Structure: optimized geometry

- E_form (uncorrected) (eV per atom) = -1.47

Lattice parameters (Å, degrees): 12.447 10.989 7.039 84.29 61.46 34.24
Fractional positions:
Cs  0.053  0.053  0.697
Cs  0.303  0.303  0.947
Cs  0.697  0.697  0.053
Cs  0.947  0.947  0.303
Al  0.125  0.125  0.125
Al  0.875  0.875  0.875
Pd  0.375  0.375  0.375
Pd  0.625  0.625  0.625
O  0.026  0.287  0.398
O  0.211  0.602  0.713
O  0.287  0.026  0.789
O  0.398  0.789  0.026
O  0.602  0.211  0.974
O  0.713  0.974  0.211
O  0.789  0.398  0.287
O  0.974  0.713  0.602



4.
Compound: Ba2GaHg16
Source: Alexandria via LeMat-Bulk
Functional: PBE-GGA
Structure: optimized geometry

- ΔE_f (eV per formula unit) = -3.54

Lattice parameters (Å, degrees): 8.252 8.252 8.252 78.57 78.57 78.57
Fractional positions:
Ba  0.000  0.000  0.000
Ba  0.321  0.321  0.321
Ga  0.709  0.709  0.709
Hg  0.035  0.035  0.433
Hg  0.035  0.433  0.035
Hg  0.066  0.697  0.697
Hg  0.302  0.302  0.755
Hg  0.302  0.755  0.302
Hg  0.346  0.644  0.942
Hg  0.346  0.942  0.644
Hg  0.433  0.035  0.035
Hg  0.534  0.534  0.534
Hg  0.644  0.346  0.942
Hg  0.644  0.942  0.346
Hg  0.697  0.066  0.697
Hg  0.697  0.697  0.066
Hg  0.755  0.302  0.302
Hg  0.942  0.346  0.644
Hg  0.942  0.644  0.346



5.
Compound: CuTc2Mo
Source: Alexandria via LeMat-Bulk
Functional: PBE-GGA
Structure: optimized geometry

- ΔE_f (eV per formula unit) = 1.06
- ΔE to the lowest computed polymorph (kJ per mole of atoms) = 11.41

Lattice parameters (Å, degrees): 5.461 7.794 2.711 90.00 90.00 90.00
Fractional positions:
Cu  0.000  0.000  0.000
Cu  0.500  0.500  0.000
Tc  0.250  0.250  0.500
Tc  0.250  0.750  0.500
Tc  0.750  0.250  0.500
Tc  0.750  0.750  0.500
Mo  0.000  0.500  0.000
Mo  0.500  0.000  0.000



6.
Compound: La2AgSn4Pd3
Source: Alexandria via LeMat-Bulk
Functional: PBE-GGA
Structure: optimized geometry

- ΔE_f (eV per formula unit) = -7.31

Lattice parameters (Å, degrees): 4.629 4.629 10.961 90.00 90.00 90.00
Fractional positions:
La  0.000  0.500  0.246
La  0.500  0.000  0.754
Ag  0.500  0.500  0.000
Sn  0.000  0.000  0.500
Sn  0.000  0.500  0.865
Sn  0.500  0.000  0.135
Sn  0.500  0.500  0.500
Pd  0.000  0.000  0.000
Pd  0.000  0.500  0.626
Pd  0.500  0.000  0.374



7.
Compound: Mn3CrCo
Source: Alexandria via LeMat-Bulk
Functional: PBE-GGA
Structure: optimized geometry

- ΔE_f (eV per formula unit) = 1.42
- ΔE to the lowest computed polymorph (kJ per mole of atoms) = 0.00

Lattice parameters (Å, degrees): 4.589 4.589 7.475 90.00 90.00 132.08
Fractional positions:
Mn  0.062  0.938  0.750
Mn  0.202  0.798  0.074
Mn  0.202  0.798  0.426
Mn  0.798  0.202  0.574
Mn  0.798  0.202  0.926
Mn  0.938  0.062  0.250
Cr  0.338  0.662  0.750
Cr  0.662  0.338  0.250
Co  0.500  0.500  0.000
Co  0.500  0.500  0.500



8.
Compound: CdPtAu2
Source: Alexandria via LeMat-Bulk
Functional: PBE-GGA
Structure: optimized geometry

- ΔE_f (eV per formula unit) = -0.47

Lattice parameters (Å, degrees): 9.707 3.041 4.968 90.00 102.84 90.00
Fractional positions:
Cd  0.000  0.000  0.000
Cd  0.500  0.500  0.000
Pt  0.254  0.000  0.765
Pt  0.754  0.500  0.765
Au  0.008  0.500  0.509
Au  0.255  0.500  0.267
Au  0.508  0.000  0.509
Au  0.755  0.000  0.267



9.
Compound: ZnSbI2F
Source: Alexandria via LeMat-Bulk
Functional: PBE-GGA
Structure: optimized geometry

- E_form (uncorrected) (eV per atom) = -0.15
- ΔE to the lowest computed polymorph (kJ per mole of atoms) = 0.00

Lattice parameters (Å, degrees): 6.050 6.050 4.213 90.00 90.00 90.00
Fractional positions:
Zn  0.000  0.000  0.000
Sb  0.500  0.500  0.000
I  0.000  0.500  0.500
I  0.500  0.000  0.500
F  0.500  0.500  0.500



10.
Compound: Sm2Ge3Pd2
Source: Alexandria via LeMat-Bulk
Functional: PBE-GGA
Structure: optimized geometry

- ΔE_f (eV per formula unit) = -5.09
- ΔE to the lowest computed polymorph (kJ per mole of atoms) = 13.36

Lattice parameters (Å, degrees): 10.327 4.351 6.697 90.00 109.83 90.00
Fractional positions:
Sm  0.152  0.000  0.282
Sm  0.348  0.500  0.718
Sm  0.652  0.500  0.282
Sm  0.848  0.000  0.718
Ge  0.000  0.500  0.500
Ge  0.108  0.500  0.944
Ge  0.392  0.000  0.056
Ge  0.500  0.000  0.500
Ge  0.608  0.000  0.944
Ge  0.892  0.500  0.056
Pd  0.145  0.000  0.760
Pd  0.355  0.500  0.240
Pd  0.645  0.500  0.760
Pd  0.855  0.000  0.240



11.
Compound: NaPmYTl
Source: Alexandria via LeMat-Bulk
Functional: PBE-GGA
Structure: optimized geometry

- ΔE_f (eV per formula unit) = -0.36

Lattice parameters (Å, degrees): 7.738 7.738 7.738 90.00 90.00 90.00
Fractional positions:
Na  0.000  0.000  0.000
Na  0.000  0.500  0.500
Na  0.500  0.000  0.500
Na  0.500  0.500  0.000
Pm  0.250  0.250  0.250
Pm  0.250  0.750  0.750
Pm  0.750  0.250  0.750
Pm  0.750  0.750  0.250
Y  0.250  0.250  0.750
Y  0.250  0.750  0.250
Y  0.750  0.250  0.250
Y  0.750  0.750  0.750
Tl  0.000  0.000  0.500
Tl  0.000  0.500  0.000
Tl  0.500  0.000  0.000
Tl  0.500  0.500  0.500



12.
Compound: KCuIr2
Source: Alexandria via LeMat-Bulk
Functional: PBE-GGA
Structure: optimized geometry

- ΔE_f (eV per formula unit) = 1.69
- ΔE to the lowest computed polymorph (kJ per mole of atoms) = 0.00

Lattice parameters (Å, degrees): 2.753 4.186 7.217 90.00 100.87 90.00
Fractional positions:
K  0.000  0.000  0.000
Cu  0.670  0.500  0.320
Ir  0.324  0.500  0.637
Ir  0.773  0.000  0.533



13.
Compound: NdDyMgHg
Source: Alexandria via LeMat-Bulk
Functional: PBE-GGA
Structure: optimized geometry

- ΔE_f (eV per formula unit) = -1.13
- ΔE to the lowest computed polymorph (kJ per mole of atoms) = 0.00

Lattice parameters (Å, degrees): 3.801 3.801 7.600 90.00 90.00 90.00
Fractional positions:
Nd  0.000  0.000  0.000
Dy  0.000  0.000  0.495
Mg  0.500  0.500  0.737
Hg  0.500  0.500  0.269



14.
Compound: TbPm3I8
Source: Alexandria via LeMat-Bulk
Functional: PBE-GGA
Structure: optimized geometry

- E_form (uncorrected) (eV per atom) = -1.27

Lattice parameters (Å, degrees): 8.386 8.386 9.484 116.32 116.32 60.10
Fractional positions:
Tb  0.000  0.000  0.000
Pm  0.000  0.500  0.000
Pm  0.500  0.000  0.000
Pm  0.500  0.500  0.000
I  0.245  0.754  0.754
I  0.246  0.246  0.246
I  0.246  0.755  0.246
I  0.249  0.249  0.749
I  0.751  0.751  0.251
I  0.754  0.245  0.754
I  0.754  0.754  0.754
I  0.755  0.246  0.246



15.
Compound: Zr3Cu
Source: Alexandria via LeMat-Bulk
Functional: PBE-GGA
Structure: optimized geometry

- ΔE_f (eV per formula unit) = 0.26

Lattice parameters (Å, degrees): 6.152 6.152 4.928 90.00 90.00 120.00
Fractional positions:
Zr  0.173  0.346  0.250
Zr  0.173  0.827  0.250
Zr  0.346  0.173  0.750
Zr  0.654  0.827  0.250
Zr  0.827  0.173  0.750
Zr  0.827  0.654  0.750
Cu  0.333  0.667  0.750
Cu  0.667  0.333  0.250



16.
Compound: Ba2HgPb4Au3
Source: Alexandria via LeMat-Bulk
Functional: PBE-GGA
Structure: optimized geometry

- ΔE_f (eV per formula unit) = -4.22

Lattice parameters (Å, degrees): 5.089 5.089 11.716 90.00 90.00 90.00
Fractional positions:
Ba  0.000  0.500  0.241
Ba  0.500  0.000  0.759
Hg  0.500  0.500  0.000
Pb  0.000  0.000  0.500
Pb  0.000  0.500  0.868
Pb  0.500  0.000  0.132
Pb  0.500  0.500  0.500
Au  0.000  0.000  0.000
Au  0.000  0.500  0.628
Au  0.500  0.000  0.372



17.
Compound: Tl4Bi4Pb
Source: Alexandria via LeMat-Bulk
Functional: PBE-GGA
Structure: optimized geometry

- ΔE_f (eV per formula unit) = 0.15

Lattice parameters (Å, degrees): 7.931 7.931 7.931 96.09 96.09 141.97
Fractional positions:
Tl  0.000  0.328  0.328
Tl  0.000  0.672  0.672
Tl  0.328  0.000  0.328
Tl  0.672  0.000  0.672
Bi  0.340  0.340  0.680
Bi  0.340  0.660  0.000
Bi  0.660  0.340  0.000
Bi  0.660  0.660  0.320
Pb  0.000  0.000  0.000



18.
Compound: CaHoZn
Source: Alexandria via LeMat-Bulk
Functional: PBE-GGA
Structure: optimized geometry

- ΔE_f (eV per formula unit) = -0.48
- ΔE to the lowest computed polymorph (kJ per mole of atoms) = 0.00

Lattice parameters (Å, degrees): 3.614 3.614 12.815 90.00 90.00 90.00
Fractional positions:
Ca  0.000  0.000  0.000
Ca  0.500  0.500  0.500
Ho  0.000  0.000  0.276
Ho  0.500  0.500  0.776
Zn  0.000  0.000  0.652
Zn  0.500  0.500  0.152



19.
Compound: MgAg2Au2
Source: Alexandria via LeMat-Bulk
Functional: PBE-GGA
Structure: optimized geometry

- ΔE_f (eV per formula unit) = -0.73
- ΔE to the lowest computed polymorph (kJ per mole of atoms) = 11.11

Lattice parameters (Å, degrees): 7.110 7.110 3.850 90.00 90.00 90.00
Fractional positions:
Mg  0.000  0.000  0.000
Mg  0.500  0.500  0.000
Ag  0.161  0.339  0.500
Ag  0.339  0.839  0.500
Ag  0.661  0.161  0.500
Ag  0.839  0.661  0.500
Au  0.140  0.640  0.000
Au  0.360  0.140  0.000
Au  0.640  0.860  0.000
Au  0.860  0.360  0.000



20.
Compound: CaMg3Pd
Source: Alexandria via LeMat-Bulk
Functional: PBE-GGA
Structure: optimized geometry

- ΔE_f (eV per formula unit) = -1.98
- ΔE to the lowest computed polymorph (kJ per mole of atoms) = 0.00

Lattice parameters (Å, degrees): 9.345 4.195 12.173 90.00 90.00 90.00
Fractional positions:
Ca  0.183  0.250  0.011
Ca  0.317  0.750  0.511
Ca  0.683  0.250  0.489
Ca  0.817  0.750  0.989
Mg  0.047  0.250  0.418
Mg  0.097  0.750  0.228
Mg  0.157  0.750  0.780
Mg  0.343  0.250  0.280
Mg  0.403  0.250  0.728
Mg  0.453  0.750  0.918
Mg  0.547  0.250  0.082
Mg  0.597  0.750  0.272
Mg  0.657  0.750  0.720
Mg  0.843  0.250  0.220
Mg  0.903  0.250  0.772
Mg  0.953  0.750  0.582
Pd  0.136  0.250  0.636
Pd  0.364  0.750  0.136
Pd  0.636  0.250  0.864
Pd  0.864  0.750  0.364